No. 1
Computed, not measured: an optimized crystal structure of La2BSbBr at the GGA-PBE level of DFT.

Properties
Its crystal system is tetragonal. The calculation puts the size of the total moment at 0.00 μB/f.u. Its formation energy without anion corrections is 0.07 eV/atom.

Lattice parameters (Å, degrees): 6.067 6.067 4.322 90.00 90.00 90.00
Fractional coordinates of all 5 atoms:
1 La 0.000 0.500 0.000
2 La 0.500 0.000 0.000
3 B 0.000 0.000 0.500
4 Sb 0.000 0.000 0.000
5 Br 0.500 0.500 0.500

---

No. 2
Computed, not measured: an optimized crystal structure of LaBSe2Br at the GGA-PBE level of DFT.

Properties
Its crystal system is tetragonal. The calculation puts the size of the total moment at 0.32 μB/f.u. Its formation energy without anion corrections is 0.29 eV/atom.

Lattice parameters (Å, degrees): 5.779 5.779 5.819 90.00 90.00 90.00
Fractional coordinates of all 5 atoms:
1 La 0.000 0.000 0.000
2 B 0.500 0.500 0.500
3 Se 0.000 0.500 0.000
4 Se 0.500 0.000 0.000
5 Br 0.000 0.000 0.500